First-principles (PBE with a Hubbard U) data for a relaxed V3SiO crystal, as listed in Alexandria via LeMat-Bulk.

a b c (Å): 3.991 3.991 3.991
angles (deg): 90.00 90.00 90.00
Fractional positions:
1 V 0.000 0.000 0.500
2 V 0.000 0.500 0.000
3 V 0.500 0.000 0.000
4 Si 0.500 0.500 0.500
5 O 0.000 0.000 0.000

Properties
**Energy relative to the lowest polymorph listed for this composition**: 0 meV per atom
**Raw total energy**: -32.178 eV per cell
**Density of states at the Fermi level**: 1.73 states/eV/cell
**Magnetic moment**: 2.82 μB per formula unit
**Space group**: Pm-3m, No. 221